[1]
Ba3YB9O18 after structural relaxation, computed with PBEsol.

Cell and atoms, written as POSCAR:
```
Ba3YB9O18
1.0
7.206 0.000 0.000
-3.603 6.240 0.000
0.000 0.000 16.710
Ba Y B O
6 2 18 36
Cartesian
0.000 0.000 4.177
0.000 0.000 12.532
0.000 4.160 2.165
0.000 4.160 6.190
3.603 2.080 10.520
3.603 2.080 14.545
0.000 0.000 0.000
0.000 0.000 8.355
-0.950 3.087 12.532
-1.397 4.466 9.748
-1.397 4.466 15.316
0.433 2.798 9.748
0.433 2.798 15.316
-0.455 5.520 12.532
2.640 1.024 1.393
2.640 1.024 6.962
2.198 2.366 4.177
1.405 3.874 12.532
0.963 5.217 9.748
0.963 5.217 15.316
4.058 0.720 4.177
3.170 3.443 1.393
3.170 3.443 6.962
4.999 1.774 1.393
4.999 1.774 6.962
4.553 3.154 4.177
-2.705 4.712 9.746
-2.705 4.712 15.319
-1.806 4.175 4.177
-0.931 3.136 9.733
-0.931 3.136 15.331
-1.357 4.432 12.532
0.875 1.542 9.746
0.875 1.542 15.319
1.773 0.014 1.391
1.773 0.014 6.964
0.443 2.849 12.532
0.891 2.589 4.177
-0.421 5.479 9.733
-0.421 5.479 15.331
2.688 0.523 12.532
2.689 1.040 4.177
1.353 3.866 9.733
1.353 3.866 15.331
2.250 2.375 1.379
2.250 2.375 6.976
0.914 5.200 12.532
0.915 5.717 4.177
4.024 0.762 1.379
4.024 0.762 6.976
2.712 3.651 12.532
3.159 3.392 4.177
1.830 6.227 9.746
1.830 6.227 15.319
2.728 4.699 1.391
2.728 4.699 6.964
4.960 1.808 4.177
4.534 3.104 1.379
4.534 3.104 6.976
5.409 2.066 12.532
6.308 1.528 1.391
6.308 1.528 6.964
```

Computed properties:
For the density, the calculation gives 3.92 Mg/m³. The calculation puts the uncorrected formation energy at -84.695 eV/f.u. For the density of states at the Fermi level, the calculation gives 0.000 states/eV/atom. The calculation puts the spin magnetization at 0.00 μB per atom. For the calculated volume, the calculation gives 375.69 Å³/f.u.

[2]
Zr2TaOs after structural relaxation, computed with PBEsol.

Cell and atoms, written as POSCAR:
```
Zr2TaOs
1.0
3.186 0.000 0.000
0.000 3.186 0.000
0.000 0.000 7.295
Zr Ta Os
2 1 1
Cartesian
0.000 0.000 0.000
1.593 1.593 2.109
1.593 1.593 5.340
0.000 0.000 3.844
```

Computed properties:
For the density, the calculation gives 12.41 Mg/m³. For the density of states at the Fermi level, the calculation gives 0.864 states/eV/atom. The calculation puts the spin magnetization at 0.00 μB per atom. For the calculated volume, the calculation gives 74.05 Å³/f.u. The value obtained for the energy of formation is -0.204 eV/atom.

[3]
InFeTc2Ge after structural relaxation, computed with PBEsol.

Cell and atoms, written as POSCAR:
```
InFeTc2Ge
1.0
4.865 0.000 0.000
0.000 4.865 0.000
0.000 0.000 4.585
In Fe Tc Ge
1 1 2 1
Cartesian
0.000 0.000 0.000
0.000 0.000 2.292
0.000 2.433 0.000
2.433 0.000 0.000
2.433 2.433 2.292
```

Computed properties:
For the density, the calculation gives 6.72 Mg/m³. For the density of states at the Fermi level, the calculation gives 1.322 states/eV/atom. The calculation puts the spin magnetization at 1.37 μB per atom. For the calculated volume, the calculation gives 108.52 Å³/f.u. The value obtained for the energy of formation is 2.185 eV/atom.

[4]
Mg5Tl3 after structural relaxation, computed with PBEsol.

Cell and atoms, written as POSCAR:
```
Mg5Tl3
1.0
-5.613 5.613 2.998
5.613 -5.613 2.998
5.613 5.613 -2.998
Mg Tl
10 6
Cartesian
8.656 0.829 0.000
0.829 2.569 0.000
5.613 0.000 1.499
6.441 3.044 0.000
3.044 4.784 0.000
2.569 0.829 2.998
-0.829 2.569 2.998
0.000 5.613 1.499
4.784 3.044 2.998
-3.044 4.784 2.998
3.715 1.898 0.000
0.000 0.000 1.499
3.715 -1.898 2.998
1.898 7.511 0.000
0.000 0.000 4.497
1.898 3.715 2.998
```

Computed properties:
For the density, the calculation gives 6.46 Mg/m³. For the density of states at the Fermi level, the calculation gives 0.380 states/eV/atom. The calculation puts the spin magnetization at 0.00 μB per atom. For the calculated volume, the calculation gives 188.90 Å³/f.u. The value obtained for the energy of formation is -0.049 eV/atom.

[5]
CoPOs3 after structural relaxation, computed with PBEsol.

Cell and atoms, written as POSCAR:
```
CoPOs3
1.0
4.348 0.000 0.000
0.000 4.348 0.000
0.000 0.000 4.348
Co P Os
1 1 3
Cartesian
0.000 0.000 0.000
2.174 2.174 2.174
0.000 0.000 2.174
0.000 2.174 0.000
2.174 0.000 0.000
```

Computed properties:
For the density, the calculation gives 13.34 Mg/m³. For the density of states at the Fermi level, the calculation gives 1.581 states/eV/atom. The calculation puts the spin magnetization at 0.19 μB per atom. For the calculated volume, the calculation gives 82.21 Å³/f.u. The value obtained for the energy of formation is 2.136 eV/atom.

[6]
ErTaO3 after structural relaxation, computed with PBEsol.

Cell and atoms, written as POSCAR:
```
ErTaO3
1.0
3.979 0.000 0.000
0.000 3.979 0.000
0.000 0.000 3.979
Er Ta O
1 1 3
Cartesian
0.000 0.000 0.000
1.990 1.990 1.990
0.000 1.990 1.990
1.990 0.000 1.990
1.990 1.990 0.000
```

Computed properties:
For the density, the calculation gives 10.44 Mg/m³. The calculation puts the uncorrected formation energy at -12.158 eV/f.u. For the density of states at the Fermi level, the calculation gives 0.415 states/eV/atom. The calculation puts the spin magnetization at 0.00 μB per atom. For the calculated volume, the calculation gives 63.01 Å³/f.u.

[7]
MgScCu2As after structural relaxation, computed with PBEsol.

Cell and atoms, written as POSCAR:
```
MgScCu2As
1.0
4.354 0.000 0.000
0.000 4.354 0.000
0.000 0.000 5.236
Mg Sc Cu As
1 1 2 1
Cartesian
0.000 0.000 0.000
0.000 0.000 2.618
0.000 2.177 0.000
2.177 0.000 0.000
2.177 2.177 2.618
```

Computed properties:
For the density, the calculation gives 4.54 Mg/m³. For the density of states at the Fermi level, the calculation gives 0.436 states/eV/atom. The calculation puts the spin magnetization at 0.00 μB per atom. For the calculated volume, the calculation gives 99.25 Å³/f.u. The value obtained for the energy of formation is 0.762 eV/atom.

[8]
KTc3Bi after structural relaxation, computed with PBEsol.

Cell and atoms, written as POSCAR:
```
KTc3Bi
1.0
5.127 0.000 0.000
0.000 5.127 0.000
0.000 0.000 5.127
K Tc Bi
1 3 1
Cartesian
0.000 0.000 0.000
0.000 2.564 2.564
2.564 0.000 2.564
2.564 2.564 0.000
2.564 2.564 2.564
```

Computed properties:
For the density, the calculation gives 6.68 Mg/m³. For the density of states at the Fermi level, the calculation gives 1.218 states/eV/atom. The calculation puts the spin magnetization at 1.31 μB per atom. For the calculated volume, the calculation gives 134.78 Å³/f.u. The value obtained for the energy of formation is 2.326 eV/atom.

[9]
SiWS2N after structural relaxation, computed with PBEsol.

Cell and atoms, written as POSCAR:
```
SiWS2N
1.0
4.753 0.000 0.000
0.000 4.753 0.000
0.000 0.000 3.771
Si W S N
1 1 2 1
Cartesian
0.000 0.000 0.000
2.377 2.377 1.885
0.000 2.377 1.885
2.377 0.000 1.885
2.377 2.377 0.000
```

Computed properties:
For the density, the calculation gives 5.65 Mg/m³. The calculation puts the uncorrected formation energy at 1.191 eV/f.u. For the density of states at the Fermi level, the calculation gives 0.367 states/eV/atom. The calculation puts the spin magnetization at 0.00 μB per atom. For the calculated volume, the calculation gives 85.20 Å³/f.u.

[10]
LiCd2Pt after structural relaxation, computed with PBEsol.

Cell and atoms, written as POSCAR:
```
LiCd2Pt
1.0
4.021 0.000 0.000
0.000 4.021 0.000
0.000 0.000 8.215
Li Cd Pt
2 4 2
Cartesian
0.000 0.000 0.000
2.011 2.011 4.107
0.000 0.000 4.107
0.000 2.011 2.054
2.011 0.000 6.161
2.011 2.011 0.000
0.000 2.011 6.161
2.011 0.000 2.054
```

Computed properties:
For the density, the calculation gives 10.67 Mg/m³. For the density of states at the Fermi level, the calculation gives 0.324 states/eV/atom. The calculation puts the spin magnetization at 0.00 μB per atom. For the calculated volume, the calculation gives 66.42 Å³/f.u. The value obtained for the energy of formation is -0.360 eV/atom.

[11]
Li2MgRe after structural relaxation, computed with PBEsol.

Cell and atoms, written as POSCAR:
```
Li2MgRe
1.0
2.542 0.000 0.000
0.000 4.755 0.000
-0.269 0.000 5.108
Li Mg Re
2 1 1
Cartesian
0.403 0.000 1.088
1.871 0.000 4.019
-0.134 2.377 2.554
1.271 2.377 0.000
```

Computed properties:
For the density, the calculation gives 6.03 Mg/m³. For the density of states at the Fermi level, the calculation gives 0.593 states/eV/atom. The calculation puts the spin magnetization at 0.00 μB per atom. For the calculated volume, the calculation gives 61.74 Å³/f.u. The value obtained for the energy of formation is 0.355 eV/atom.

[12]
Ta2InBr after structural relaxation, computed with PBEsol.

Cell and atoms, written as POSCAR:
```
Ta2InBr
1.0
5.814 0.000 0.000
0.000 9.404 0.000
-1.125 0.000 2.806
Ta In Br
4 2 2
Cartesian
1.453 2.351 0.000
1.453 7.053 0.000
4.360 2.351 0.000
4.360 7.053 0.000
-0.562 0.000 1.403
2.344 4.702 1.403
-0.562 4.702 1.403
2.344 0.000 1.403
```

Computed properties:
For the density, the calculation gives 12.05 Mg/m³. The calculation puts the uncorrected formation energy at 2.577 eV/f.u. For the density of states at the Fermi level, the calculation gives 1.182 states/eV/atom. The calculation puts the spin magnetization at 0.00 μB per atom. For the calculated volume, the calculation gives 76.71 Å³/f.u.